# 1
Material: BaTaCo2
Method: DFT, PBE-GGA
State: relaxed

abc: 4.7048 4.7048 4.7048
angles: 60.00 60.00 60.00
Last column: nearest neighbours and their distance in Å.
Fractional coordinates of all 4 atoms:
Ba 0.0000 0.0000 0.0000  8 Co 2.88
Ta 0.5000 0.5000 0.5000  8 Co 2.88
Co 0.2500 0.2500 0.2500  4 Ba 2.88, 4 Ta 2.88
Co 0.7500 0.7500 0.7500  4 Ba 2.88, 4 Ta 2.88

DFT formation energy: 964 meV/atom
Magnetization: 0.000 μB/atom
Electronic total energy: -6.033 eV per atom
Relative energy among the computed polymorphs: 2.79 eV per formula unit

=====

# 2
Material: YMoOs
Method: DFT, PBE-GGA
State: relaxed

abc: 6.8162 6.8162 4.5576
angles: 90.00 90.00 142.83
Last column: nearest neighbours and their distance in Å.
Fractional coordinates of all 6 atoms:
Y 0.0852 0.9148 0.7500  4 Mo 3.06-3.10, 2 Y 3.17, 5 Os 3.27-3.37
Y 0.9148 0.0852 0.2500  4 Mo 3.06-3.10, 2 Y 3.17, 5 Os 3.27-3.37
Mo 0.2484 0.7516 0.2500  4 Os 2.49-2.61
Mo 0.7516 0.2484 0.7500  4 Os 2.49-2.61
Os 0.3462 0.6538 0.7500  4 Mo 2.49-2.61
Os 0.6538 0.3462 0.2500  4 Mo 2.49-2.61

DFT formation energy: 187 meV/atom
Magnetization: 0.000 μB/atom
Electronic total energy: -9.321 eV per atom
Relative energy among the computed polymorphs: 1.08 eV per formula unit

=====

# 3
Material: Pa2GeAu
Method: DFT, PBE-GGA
State: relaxed

abc: 4.5143 4.5143 4.3215
angles: 90.00 90.00 90.00
Last column: nearest neighbours and their distance in Å.
Fractional coordinates of all 4 atoms:
Pa 0.0000 0.5000 0.0000  4 Au 3.12, 4 Ge 3.12, 4 Pa 3.19
Pa 0.5000 0.0000 0.0000  4 Au 3.12, 4 Ge 3.12, 4 Pa 3.19
Ge 0.0000 0.0000 0.5000  8 Pa 3.12, 4 Au 3.19
Au 0.5000 0.5000 0.5000  8 Pa 3.12, 4 Ge 3.19

DFT formation energy: -289 meV/atom
Magnetization: 0.029 μB/atom
Electronic total energy: -7.010 eV per atom
Relative energy among the computed polymorphs: 0.07 eV per formula unit

=====

# 4
Material: Tb4NdTm2
Method: DFT, PBE-GGA
State: relaxed

abc: 6.1596 6.5248 11.4785
angles: 90.00 104.35 90.00
Last column: nearest neighbours and their distance in Å.
Fractional coordinates of all 14 atoms:
Tb 0.1472 0.0070 0.2877  4 Tb 3.17-3.46, 1 Nd 3.33, 2 Tm 3.43-3.53
Tb 0.1472 0.4930 0.2877  4 Tb 3.17-3.46, 1 Nd 3.33, 2 Tm 3.43-3.53
Tb 0.2076 0.2500 0.5712  4 Tm 3.35-3.41, 1 Nd 3.43, 4 Tb 3.46-3.56
Tb 0.3474 0.7500 0.8390  2 Tm 3.30-3.43, 3 Nd 3.36-3.45, 2 Tb 3.42
Tb 0.6526 0.2500 0.1610  2 Tm 3.30-3.43, 3 Nd 3.36-3.45, 2 Tb 3.42
Tb 0.7924 0.7500 0.4288  4 Tm 3.35-3.41, 1 Nd 3.43, 4 Tb 3.46-3.56
Tb 0.8528 0.5070 0.7123  4 Tb 3.17-3.46, 1 Nd 3.33, 2 Tm 3.43-3.53
Tb 0.8528 0.9930 0.7123  4 Tb 3.17-3.46, 1 Nd 3.33, 2 Tm 3.43-3.53
Nd 0.4624 0.7500 0.1406  6 Tb 3.33-3.45, 2 Tm 3.41-3.46
Nd 0.5376 0.2500 0.8594  6 Tb 3.33-3.45, 2 Tm 3.41-3.46
Tm 0.1059 0.2500 0.9965  2 Nd 3.41-3.46, 6 Tb 3.43-3.74, 2 Tm 3.52
Tm 0.3546 0.7500 0.5530  9 Tb 3.30-3.53
Tm 0.6454 0.2500 0.4470  9 Tb 3.30-3.53
Tm 0.8941 0.7500 0.0035  2 Nd 3.41-3.46, 6 Tb 3.43-3.74, 2 Tm 3.52

DFT formation energy: 128 meV/atom
Magnetization: 0.000 μB/atom
Electronic total energy: -4.477 eV per atom
Relative energy among the computed polymorphs: 0.67 eV per formula unit

=====

# 5
Material: NdLuBr2
Method: DFT, PBE-GGA
State: relaxed

abc: 10.2422 10.2422 10.2422
angles: 20.89 20.89 20.89
Last column: nearest neighbours and their distance in Å.
Fractional coordinates of all 4 atoms:
Nd 0.0000 0.0000 0.0000  6 Br 3.07
Lu 0.5000 0.5000 0.5000  2 Br 2.81
Br 0.4066 0.4066 0.4066  1 Lu 2.81, 3 Nd 3.07
Br 0.5934 0.5934 0.5934  1 Lu 2.81, 3 Nd 3.07

E_form (uncorrected): -1.034 eV per atom
Magnetization: 0.000 μB/atom
Electronic total energy: -4.193 eV per atom

=====

# 6
Material: La4PmS6
Method: DFT, PBE-GGA
State: relaxed

abc: 7.1478 7.1478 20.7096
angles: 90.00 90.00 147.25
Last column: nearest neighbours and their distance in Å.
Fractional coordinates of all 22 atoms:
La 0.0908 0.9092 0.6312  6 S 2.89-2.99
La 0.0908 0.9092 0.8688  6 S 2.89-2.99
La 0.3612 0.6388 0.5414  6 S 2.90-3.00
La 0.3612 0.6388 0.9586  6 S 2.90-3.00
La 0.6388 0.3612 0.0414  6 S 2.90-3.00
La 0.6388 0.3612 0.4586  6 S 2.90-3.00
La 0.9092 0.0908 0.1312  6 S 2.89-2.99
La 0.9092 0.0908 0.3688  6 S 2.89-2.99
Pm 0.1535 0.8465 0.2500  6 S 2.84-2.94
Pm 0.8465 0.1535 0.7500  6 S 2.84-2.94
S 0.0000 0.0000 0.0000  6 La 2.90-2.99
S 0.0000 0.0000 0.5000  6 La 2.90-2.99
S 0.2008 0.7992 0.7500  2 Pm 2.84, 2 La 2.89
S 0.2712 0.7288 0.0906  5 La 2.89-3.00
S 0.2712 0.7288 0.4094  5 La 2.89-3.00
S 0.4468 0.5532 0.6704  3 La 2.92-2.94, 2 Pm 2.94
S 0.4468 0.5532 0.8296  3 La 2.92-2.94, 2 Pm 2.94
S 0.5532 0.4468 0.1704  3 La 2.92-2.94, 2 Pm 2.94
S 0.5532 0.4468 0.3296  3 La 2.92-2.94, 2 Pm 2.94
S 0.7288 0.2712 0.5906  5 La 2.89-3.00
S 0.7288 0.2712 0.9094  5 La 2.89-3.00
S 0.7992 0.2008 0.2500  2 Pm 2.84, 2 La 2.89

E_form (uncorrected): -2.110 eV per atom
Magnetization: 0.000 μB/atom
Electronic total energy: -6.585 eV per atom

=====

# 7
Material: CeSmGe2
Method: DFT, PBE-GGA
State: relaxed

abc: 4.7946 4.7946 4.0992
angles: 90.00 90.00 90.00
Last column: nearest neighbours and their distance in Å.
Fractional coordinates of all 4 atoms:
Ce 0.0000 0.0000 0.0000  8 Ge 3.15, 4 Sm 3.39
Sm 0.5000 0.5000 0.0000  8 Ge 3.15, 4 Ce 3.39
Ge 0.0000 0.5000 0.5000  4 Ce 3.15, 4 Sm 3.15, 4 Ge 3.39
Ge 0.5000 0.0000 0.5000  4 Ce 3.15, 4 Sm 3.15, 4 Ge 3.39

DFT formation energy: -626 meV/atom
Magnetization: 0.157 μB/atom
Electronic total energy: -5.598 eV per atom

=====

# 8
Material: LaNd9Tm2
Method: DFT, PBE-GGA
State: relaxed

abc: 5.1657 5.1657 15.5341
angles: 90.00 90.00 90.00
Last column: nearest neighbours and their distance in Å.
Fractional coordinates of all 12 atoms:
La 0.0000 0.0000 0.0000  12 Nd 3.65-3.70
Nd 0.0000 0.5000 0.1708  2 Tm 3.63, 8 Nd 3.65-3.70, 2 La 3.70
Nd 0.0000 0.5000 0.5000  8 Nd 3.62-3.65, 4 Tm 3.64
Nd 0.0000 0.5000 0.8292  2 Tm 3.63, 8 Nd 3.65-3.70, 2 La 3.70
Nd 0.5000 0.0000 0.1708  2 Tm 3.63, 8 Nd 3.65-3.70, 2 La 3.70
Nd 0.5000 0.0000 0.5000  8 Nd 3.62-3.65, 4 Tm 3.64
Nd 0.5000 0.0000 0.8292  2 Tm 3.63, 8 Nd 3.65-3.70, 2 La 3.70
Nd 0.5000 0.5000 0.0000  4 La 3.65, 8 Nd 3.70
Nd 0.5000 0.5000 0.3368  8 Nd 3.62-3.65, 4 Tm 3.65
Nd 0.5000 0.5000 0.6632  8 Nd 3.62-3.65, 4 Tm 3.65
Tm 0.0000 0.0000 0.3352  12 Nd 3.63-3.65
Tm 0.0000 0.0000 0.6648  12 Nd 3.63-3.65

DFT formation energy: 18 meV/atom
Magnetization: 0.000 μB/atom
Electronic total energy: -4.713 eV per atom